1.
Material: Lu3MgRu
Method: DFT, PBE
State: optimized geometry

Unit cell a=5.250 b=5.250 c=5.250 alpha=90.00 beta=90.00 gamma=90.00
Space group Pm-3m (No. 221)
Unique sites:
Lu: 0.000 0.000 0.500 [3 per cell]
Mg: 0.500 0.500 0.500 [1 per cell]
Ru: 0.000 0.000 0.000 [1 per cell]

Output
- spin magnetization (μB per cell) = 0.0
- DOS at the Fermi energy (states/eV/atom) = 0.59
- E (eV/atom) = -4.998
- formation energy from the elements (eV per atom) = -0.111
- density (g/cm3) = 7.46


2.
Material: LuMgScRu
Method: DFT, PBE
State: optimized geometry

Unit cell a=6.833 b=6.833 c=6.833 alpha=90.00 beta=90.00 gamma=90.00
Space group F-43m (No. 216)
Unique sites:
Lu: 0.000 0.000 0.000 [4 per cell]
Mg: 0.250 0.250 0.750 [4 per cell]
Sc: 0.000 0.000 0.500 [4 per cell]
Ru: 0.250 0.250 0.250 [4 per cell]

Output
- spin magnetization (μB per cell) = 0.0
- DOS at the Fermi energy (states/eV/atom) = 0.95
- E (eV/atom) = -5.701
- formation energy from the elements (eV per atom) = -0.270
- density (g/cm3) = 7.19


3.
Material: SmLuMgRu
Method: DFT, PBE
State: optimized geometry

Unit cell a=7.103 b=7.103 c=7.103 alpha=90.00 beta=90.00 gamma=90.00
Space group F-43m (No. 216)
Unique sites:
Sm: 0.000 0.000 0.000 [4 per cell]
Lu: 0.000 0.000 0.500 [4 per cell]
Mg: 0.250 0.250 0.750 [4 per cell]
Ru: 0.250 0.250 0.250 [4 per cell]

Output
- spin magnetization (μB per cell) = 0.0
- DOS at the Fermi energy (states/eV/atom) = 0.93
- E (eV/atom) = -5.203
- formation energy from the elements (eV per atom) = -0.176
- density (g/cm3) = 8.35


4.
Material: LuMgSnRu
Method: DFT, PBE
State: optimized geometry

Unit cell a=6.743 b=6.743 c=6.743 alpha=90.00 beta=90.00 gamma=90.00
Space group F-43m (No. 216)
Unique sites:
Lu: 0.000 0.000 0.000 [4 per cell]
Mg: 0.250 0.250 0.750 [4 per cell]
Sn: 0.000 0.000 0.500 [4 per cell]
Ru: 0.250 0.250 0.250 [4 per cell]

Output
- spin magnetization (μB per cell) = 0.0
- DOS at the Fermi energy (states/eV/atom) = 1.06
- E (eV/atom) = -5.116
- formation energy from the elements (eV per atom) = -0.267
- density (g/cm3) = 9.08


5.
Material: TmLuMgRu
Method: DFT, PBE
State: optimized geometry

Unit cell a=6.984 b=6.984 c=6.984 alpha=90.00 beta=90.00 gamma=90.00
Space group F-43m (No. 216)
Unique sites:
Tm: 0.000 0.000 0.000 [4 per cell]
Lu: 0.000 0.000 0.500 [4 per cell]
Mg: 0.250 0.250 0.250 [4 per cell]
Ru: 0.250 0.250 0.750 [4 per cell]

Output
- spin magnetization (μB per cell) = 0.0
- DOS at the Fermi energy (states/eV/atom) = 0.86
- E (eV/atom) = -5.214
- formation energy from the elements (eV per atom) = -0.249
- density (g/cm3) = 9.15


6.
Material: LuMgZnRu
Method: DFT, PBE
State: optimized geometry

Unit cell a=6.606 b=6.606 c=6.606 alpha=90.00 beta=90.00 gamma=90.00
Space group F-43m (No. 216)
Unique sites:
Lu: 0.000 0.000 0.000 [4 per cell]
Mg: 0.000 0.000 0.500 [4 per cell]
Zn: 0.250 0.250 0.250 [4 per cell]
Ru: 0.250 0.250 0.750 [4 per cell]

Output
- spin magnetization (μB per cell) = 0.0
- DOS at the Fermi energy (states/eV/atom) = 0.93
- E (eV/atom) = -4.368
- formation energy from the elements (eV per atom) = -0.202
- density (g/cm3) = 8.43


7.
Material: LuMgZrRu
Method: DFT, PBE
State: optimized geometry

Unit cell a=6.852 b=6.852 c=6.852 alpha=90.00 beta=90.00 gamma=90.00
Space group F-43m (No. 216)
Unique sites:
Lu: 0.000 0.000 0.000 [4 per cell]
Mg: 0.250 0.250 0.750 [4 per cell]
Zr: 0.000 0.000 0.500 [4 per cell]
Ru: 0.250 0.250 0.250 [4 per cell]

Output
- spin magnetization (μB per cell) = 0.0
- DOS at the Fermi energy (states/eV/atom) = 0.73
- E (eV/atom) = -6.209
- formation energy from the elements (eV per atom) = -0.224
- density (g/cm3) = 8.09


8.
Material: Lu2MgS4
Method: DFT, PBE
State: optimized geometry

Unit cell a=9.012 b=9.012 c=7.893 alpha=90.00 beta=90.00 gamma=90.00
Space group I-42d (No. 122)
Unique sites:
Lu: 0.225 0.250 0.125 [8 per cell]
Mg: 0.000 0.000 0.500 [4 per cell]
S: 0.049 0.244 0.856 [16 per cell]

Output
- spin magnetization (μB per cell) = 0.0
- formation energy without anion corrections (eV/f.u.) = -12.91
- offset from the most stable computed form (meV/atom) = 57
- DOS at the Fermi energy (states/eV/atom) = 0.00
- E (eV/atom) = -5.722
- density (g/cm3) = 5.21